{
  "formula": "Dy3Lu",
  "functional": "PBE",
  "state": "optimized geometry",
  "n_ef_per_ev_fu": 6.4,
  "spacegroup": "Pmm2, No. 25",
  "final_energy_ev_per_cell": -18.31,
  "cell": [[3.5936, 0.0000, 0.0000], [0.0000, 5.5674, 0.0000], [0.0000, 0.0000, 6.2233]],
  "species": ["Dy", "Dy", "Dy", "Lu"],
  "fractional_positions": [[0.0000, 0.0000, 0.0000], [0.0000, 0.5000, 0.3349], [0.5000, 0.5000, 0.8340], [0.5000, 0.0000, 0.5017]]
}



{
  "formula": "VAsRh",
  "functional": "PBE",
  "state": "optimized geometry",
  "n_ef_per_ev_fu": 2.1,
  "spacegroup": "F-43m, No. 216",
  "final_energy_ev_per_cell": -22.23,
  "cell": [[0.0000, 2.9167, 2.9167], [2.9167, 0.0000, 2.9167], [2.9167, 2.9167, 0.0000]],
  "species": ["V", "As", "Rh"],
  "fractional_positions": [[0.0000, 0.0000, 0.0000], [0.5000, 0.5000, 0.5000], [0.7500, 0.7500, 0.7500]]
}



{
  "formula": "GdDyTlAu",
  "functional": "PBE",
  "state": "optimized geometry",
  "n_ef_per_ev_fu": 4.4,
  "spacegroup": "F-43m, No. 216",
  "final_energy_ev_per_cell": -26.59,
  "cell": [[0.0000, 3.7185, 3.7185], [3.7185, 0.0000, 3.7185], [3.7185, 3.7185, 0.0000]],
  "species": ["Gd", "Dy", "Tl", "Au"],
  "fractional_positions": [[0.0000, 0.0000, 0.0000], [0.5000, 0.5000, 0.5000], [0.2500, 0.2500, 0.2500], [0.7500, 0.7500, 0.7500]]
}